[1]
Below is an optimized crystal structure of Pm5P4Br, with properties calculated at the PBE level.

Values from the calculation:
- DFT total energy: -6.2711 eV/atom
- Fermi-level density of states: 0.316 states/eV per atom
- Space group: No. 87
- Formation energy (no corrections): -1565 meV/atom
- Magnetization: 0.000 μB/atom

abc: 7.197 7.197 7.197
angles: 99.52 99.52 132.01
Positions (direct):
Pm1 0.000 0.000 0.000
Pm2 0.182 0.608 0.790
Pm3 0.392 0.182 0.575
Pm4 0.608 0.818 0.425
Pm5 0.818 0.392 0.210
P1 0.104 0.297 0.400
P2 0.297 0.896 0.193
P3 0.703 0.104 0.807
P4 0.896 0.703 0.600
Br1 0.500 0.500 0.000

***

[2]
Below is an optimized crystal structure of ReSb3C, with properties calculated at the PBE level.

Values from the calculation:
- Energy above the most stable polymorph in this dataset: 0.00 eV per formula unit
- DFT total energy: -5.3460 eV/atom
- Fermi-level density of states: 0.724 states/eV per atom
- Space group: No. 221
- Formation energy (no corrections): 1462 meV/atom
- Magnetization: 0.268 μB/atom

abc: 4.600 4.600 4.600
angles: 90.00 90.00 90.00
Positions (direct):
Re1 0.000 0.000 0.000
Sb1 0.000 0.500 0.500
Sb2 0.500 0.000 0.500
Sb3 0.500 0.500 0.000
C1 0.500 0.500 0.500

***

[3]
Below is an optimized crystal structure of GeMo, with properties calculated at the PBE level.

Values from the calculation:
- DFT total energy: -7.7467 eV/atom
- Formation energy from the elements: -22 meV per atom
- Fermi-level density of states: 0.713 states/eV per atom
- Space group: No. 19
- Magnetization: 0.000 μB/atom

abc: 5.043 5.348 9.264
angles: 90.00 90.00 90.00
Positions (direct):
Ge1 0.086 0.050 0.301
Ge2 0.193 0.385 0.960
Ge3 0.307 0.615 0.460
Ge4 0.414 0.950 0.801
Ge5 0.586 0.450 0.699
Ge6 0.693 0.115 0.040
Ge7 0.807 0.885 0.540
Ge8 0.914 0.550 0.199
Mo1 0.098 0.608 0.716
Mo2 0.182 0.880 0.047
Mo3 0.318 0.120 0.547
Mo4 0.402 0.392 0.216
Mo5 0.598 0.892 0.284
Mo6 0.682 0.620 0.953
Mo7 0.818 0.380 0.453
Mo8 0.902 0.108 0.784

***

[4]
Below is an optimized crystal structure of BeTcF2, with properties calculated at the PBE level.

Values from the calculation:
- Energy above the most stable polymorph in this dataset: 2.47 eV per formula unit
- DFT total energy: -5.4681 eV/atom
- Fermi-level density of states: 0.550 states/eV per atom
- Space group: No. 166
- Formation energy (no corrections): -1009 meV/atom
- Magnetization: 0.300 μB/atom

abc: 2.724 2.724 28.435
angles: 90.00 90.00 120.00
Positions (direct):
Be1 0.000 0.000 0.000
Be2 0.333 0.667 0.667
Be3 0.667 0.333 0.333
Tc1 0.000 0.000 0.500
Tc2 0.333 0.667 0.167
Tc3 0.667 0.333 0.833
F1 0.000 0.000 0.048
F2 0.000 0.000 0.952
F3 0.333 0.667 0.618
F4 0.333 0.667 0.715
F5 0.667 0.333 0.285
F6 0.667 0.333 0.382